No. 1
# TbNdDyY2 (PBE-GGA, optimized geometry)
# **Energy of formation**: 37 kJ per mole of atoms
# **Total magnetic moment**: 0.00 μB/atom
data_TbNdDyY2
_chemical_formula_sum 'Tb4 Nd4 Dy4 Y8'
_cell_length_a 8.454
_cell_length_b 11.516
_cell_length_c 7.227
_cell_angle_alpha 90.00
_cell_angle_beta 90.00
_cell_angle_gamma 90.00
_symmetry_space_group_name_H-M 'C m c m'
_symmetry_Int_Tables_number 63
_symmetry_space_group_name_Hall '-C 2c 2'
loop_
_atom_site_label
_atom_site_type_symbol
_atom_site_fract_x
_atom_site_fract_y
_atom_site_fract_z
Tb1 Tb 0.000 0.004 0.250
Nd1 Nd 0.000 0.272 0.250
Dy1 Dy 0.000 0.274 0.750
Y1 Y 0.190 0.500 0.000

=====

No. 2
# Tb2Nd4Dy2Y (PBE-GGA, optimized geometry)
# **Energy of formation**: 2 kJ per mole of atoms
# **Total magnetic moment**: 0.00 μB/atom
data_Tb2Nd4Dy2Y
_chemical_formula_sum 'Tb4 Nd8 Dy4 Y2'
_cell_length_a 15.349
_cell_length_b 5.110
_cell_length_c 8.071
_cell_angle_alpha 90.00
_cell_angle_beta 108.52
_cell_angle_gamma 90.00
_symmetry_space_group_name_H-M 'C 1 2/m 1'
_symmetry_Int_Tables_number 12
loop_
_symmetry_equiv_pos_as_xyz
'x,y,z'
'-x,-y,-z'
'-x,y,-z'
'x,-y,z'
'x+1/2,y+1/2,z'
'-x+1/2,-y+1/2,-z'
'-x+1/2,y+1/2,-z'
'x+1/2,-y+1/2,z'
loop_
_atom_site_label
_atom_site_type_symbol
_atom_site_fract_x
_atom_site_fract_y
_atom_site_fract_z
Tb1 Tb 0.112 0.000 0.169
Nd1 Nd 0.054 0.500 0.832
Nd2 Nd 0.223 0.000 0.832
Dy1 Dy 0.167 0.500 0.500
Y1 Y 0.000 0.000 0.500

=====

No. 3
# Tb2Nd2Dy4Y (PBE-GGA, optimized geometry)
# **Energy of formation**: 0 kJ per mole of atoms
# **Total magnetic moment**: 0.00 μB/atom
data_Tb2Nd2Dy4Y
_chemical_formula_sum 'Tb4 Nd4 Dy8 Y2'
_cell_length_a 18.752
_cell_length_b 3.614
_cell_length_c 9.602
_cell_angle_alpha 90.00
_cell_angle_beta 115.73
_cell_angle_gamma 90.00
_symmetry_space_group_name_H-M 'C 1 2/m 1'
_symmetry_Int_Tables_number 12
loop_
_symmetry_equiv_pos_as_xyz
'x,y,z'
'-x,-y,-z'
'-x,y,-z'
'x,-y,z'
'x+1/2,y+1/2,z'
'-x+1/2,-y+1/2,-z'
'-x+1/2,y+1/2,-z'
'x+1/2,-y+1/2,z'
loop_
_atom_site_label
_atom_site_type_symbol
_atom_site_fract_x
_atom_site_fract_y
_atom_site_fract_z
Tb1 Tb 0.147 0.000 0.163
Nd1 Nd 0.166 0.500 0.499
Dy1 Dy 0.019 0.500 0.836
Dy2 Dy 0.186 0.000 0.836
Y1 Y 0.000 0.000 0.500

=====

No. 4
# TbNd2DyY2 (PBE-GGA, optimized geometry)
# **Energy of formation**: 24 kJ per mole of atoms
# **Total magnetic moment**: 0.00 μB/atom
data_TbNd2DyY2
_chemical_formula_sum 'Tb2 Nd4 Dy2 Y4'
_cell_length_a 6.665
_cell_length_b 17.750
_cell_length_c 3.411
_cell_angle_alpha 90.00
_cell_angle_beta 90.00
_cell_angle_gamma 90.00
_symmetry_space_group_name_H-M 'P n n m'
_symmetry_Int_Tables_number 58
loop_
_symmetry_equiv_pos_as_xyz
'x,y,z'
'-x,-y,-z'
'-x,-y,z'
'x,y,-z'
'x+1/2,-y+1/2,-z+1/2'
'-x+1/2,y+1/2,z+1/2'
'-x+1/2,y+1/2,-z+1/2'
'x+1/2,-y+1/2,z+1/2'
loop_
_atom_site_label
_atom_site_type_symbol
_atom_site_fract_x
_atom_site_fract_y
_atom_site_fract_z
Tb1 Tb 0.000 0.000 0.000
Nd1 Nd 0.234 0.351 0.500
Dy1 Dy 0.000 0.500 0.000
Y1 Y 0.238 0.179 0.000

=====

No. 5
# TbNdDy6Y2 (PBE-GGA, optimized geometry)
# **Energy of formation**: 12 kJ per mole of atoms
# **Total magnetic moment**: 0.00 μB/atom
data_TbNdDy6Y2
_chemical_formula_sum 'Tb4 Nd4 Dy24 Y8'
_cell_length_a 9.251
_cell_length_b 15.013
_cell_length_c 9.420
_cell_angle_alpha 90.00
_cell_angle_beta 95.47
_cell_angle_gamma 90.00
_symmetry_space_group_name_H-M 'C 1 2/c 1'
_symmetry_Int_Tables_number 15
loop_
_symmetry_equiv_pos_as_xyz
'x,y,z'
'-x,-y,-z'
'-x,y,-z+1/2'
'x,-y,z+1/2'
'x+1/2,y+1/2,z'
'-x+1/2,-y+1/2,-z'
'-x+1/2,y+1/2,-z+1/2'
'x+1/2,-y+1/2,z+1/2'
loop_
_atom_site_label
_atom_site_type_symbol
_atom_site_fract_x
_atom_site_fract_y
_atom_site_fract_z
Tb1 Tb 0.000 0.090 0.250
Nd1 Nd 0.000 0.466 0.750
Dy1 Dy 0.062 0.320 0.442
Dy2 Dy 0.094 0.114 0.614
Dy3 Dy 0.214 0.273 0.818
Y1 Y 0.248 0.050 0.949

=====

No. 6
# TbNdDy5Y2 (PBE-GGA, optimized geometry)
# **Energy of formation**: 15 kJ per mole of atoms
# **Total magnetic moment**: 0.00 μB/atom
data_TbNdDy5Y2
_chemical_formula_sum 'Tb4 Nd4 Dy20 Y8'
_cell_length_a 5.634
_cell_length_b 19.830
_cell_length_c 10.596
_cell_angle_alpha 90.00
_cell_angle_beta 90.00
_cell_angle_gamma 90.00
_symmetry_space_group_name_H-M 'C m c 21'
_symmetry_Int_Tables_number 36
loop_
_symmetry_equiv_pos_as_xyz
'x,y,z'
'-x,-y,z+1/2'
'-x,y,z'
'x,-y,z+1/2'
'x+1/2,y+1/2,z'
'-x+1/2,-y+1/2,z+1/2'
'-x+1/2,y+1/2,z'
'x+1/2,-y+1/2,z+1/2'
loop_
_atom_site_label
_atom_site_type_symbol
_atom_site_fract_x
_atom_site_fract_y
_atom_site_fract_z
Tb1 Tb 0.000 0.201 0.000
Nd1 Nd 0.000 0.416 0.442
Dy1 Dy 0.000 0.019 0.014
Dy2 Dy 0.000 0.282 0.300
Dy3 Dy 0.000 0.298 0.697
Dy4 Dy 0.000 0.390 0.011
Dy5 Dy 0.000 0.479 0.726
Y1 Y 0.000 0.111 0.723
Y2 Y 0.000 0.114 0.309

=====

No. 7
# Tb2NdDy6Y2 (PBE-GGA, optimized geometry)
# **Energy of formation**: 16 kJ per mole of atoms
# **Total magnetic moment**: 0.00 μB/atom
data_Tb2NdDy6Y2
_chemical_formula_sum 'Tb4 Nd2 Dy12 Y4'
_cell_length_a 5.674
_cell_length_b 12.031
_cell_length_c 10.593
_cell_angle_alpha 90.00
_cell_angle_beta 90.00
_cell_angle_gamma 90.00
_symmetry_space_group_name_H-M 'C m m m'
_symmetry_Int_Tables_number 65
_symmetry_space_group_name_Hall '-C 2 2'
loop_
_atom_site_label
_atom_site_type_symbol
_atom_site_fract_x
_atom_site_fract_y
_atom_site_fract_z
Tb1 Tb 0.000 0.203 0.000
Nd1 Nd 0.000 0.500 0.000
Dy1 Dy 0.000 0.000 0.212
Dy2 Dy 0.000 0.348 0.294
Y1 Y 0.000 0.136 0.500

=====

No. 8
# TbNd2Dy2Y2 (PBE-GGA, optimized geometry)
# **Energy of formation**: 14 kJ per mole of atoms
# **Total magnetic moment**: 0.00 μB/atom
data_TbNd2Dy2Y2
_chemical_formula_sum 'Tb2 Nd4 Dy4 Y4'
_cell_length_a 17.785
_cell_length_b 3.509
_cell_length_c 8.509
_cell_angle_alpha 90.00
_cell_angle_beta 117.02
_cell_angle_gamma 90.00
_symmetry_space_group_name_H-M 'C 1 2/m 1'
_symmetry_Int_Tables_number 12
loop_
_symmetry_equiv_pos_as_xyz
'x,y,z'
'-x,-y,-z'
'-x,y,-z'
'x,-y,z'
'x+1/2,y+1/2,z'
'-x+1/2,-y+1/2,-z'
'-x+1/2,y+1/2,-z'
'x+1/2,-y+1/2,z'
loop_
_atom_site_label
_atom_site_type_symbol
_atom_site_fract_x
_atom_site_fract_y
_atom_site_fract_z
Tb1 Tb 0.000 0.000 0.000
Nd1 Nd 0.148 0.500 0.888
Dy1 Dy 0.211 0.000 0.299
Y1 Y 0.070 0.500 0.406

=====

No. 9
# TbNd5Dy2Y (PBE-GGA, optimized geometry)
# **Energy of formation**: 14 kJ per mole of atoms
# **Total magnetic moment**: 0.00 μB/atom
data_TbNd5Dy2Y
_chemical_formula_sum 'Tb4 Nd20 Dy8 Y4'
_cell_length_a 5.673
_cell_length_b 20.519
_cell_length_c 10.697
_cell_angle_alpha 90.00
_cell_angle_beta 90.00
_cell_angle_gamma 90.00
_symmetry_space_group_name_H-M 'C m c 21'
_symmetry_Int_Tables_number 36
loop_
_symmetry_equiv_pos_as_xyz
'x,y,z'
'-x,-y,z+1/2'
'-x,y,z'
'x,-y,z+1/2'
'x+1/2,y+1/2,z'
'-x+1/2,-y+1/2,z+1/2'
'-x+1/2,y+1/2,z'
'x+1/2,-y+1/2,z+1/2'
loop_
_atom_site_label
_atom_site_type_symbol
_atom_site_fract_x
_atom_site_fract_y
_atom_site_fract_z
Tb1 Tb 0.000 0.199 0.000
Nd1 Nd 0.000 0.015 0.007
Nd2 Nd 0.000 0.279 0.301
Nd3 Nd 0.000 0.297 0.696
Nd4 Nd 0.000 0.386 0.012
Nd5 Nd 0.000 0.482 0.733
Dy1 Dy 0.000 0.113 0.727
Dy2 Dy 0.000 0.115 0.300
Y1 Y 0.000 0.408 0.450

=====

No. 10
# TbNd6DyY2 (PBE-GGA, optimized geometry)
# **Energy of formation**: 11 kJ per mole of atoms
# **Total magnetic moment**: 0.00 μB/atom
data_TbNd6DyY2
_chemical_formula_sum 'Tb4 Nd24 Dy4 Y8'
_cell_length_a 9.357
_cell_length_b 15.347
_cell_length_c 9.633
_cell_angle_alpha 90.00
_cell_angle_beta 96.76
_cell_angle_gamma 90.00
_symmetry_space_group_name_H-M 'C 1 2/c 1'
_symmetry_Int_Tables_number 15
loop_
_symmetry_equiv_pos_as_xyz
'x,y,z'
'-x,-y,-z'
'-x,y,-z+1/2'
'x,-y,z+1/2'
'x+1/2,y+1/2,z'
'-x+1/2,-y+1/2,-z'
'-x+1/2,y+1/2,-z+1/2'
'x+1/2,-y+1/2,z+1/2'
loop_
_atom_site_label
_atom_site_type_symbol
_atom_site_fract_x
_atom_site_fract_y
_atom_site_fract_z
Tb1 Tb 0.000 0.031 0.250
Nd1 Nd 0.061 0.177 0.944
Nd2 Nd 0.096 0.389 0.117
Nd3 Nd 0.214 0.223 0.312
Dy1 Dy 0.000 0.410 0.750
Y1 Y 0.249 0.048 0.548

=====

No. 11
# Tb6NdDy2Y (PBE-GGA, optimized geometry)
# **Energy of formation**: 12 kJ per mole of atoms
# **Total magnetic moment**: 0.00 μB/atom
data_Tb6NdDy2Y
_chemical_formula_sum 'Tb24 Nd4 Dy8 Y4'
_cell_length_a 9.064
_cell_length_b 15.126
_cell_length_c 9.651
_cell_angle_alpha 90.00
_cell_angle_beta 98.01
_cell_angle_gamma 90.00
_symmetry_space_group_name_H-M 'C 1 2/c 1'
_symmetry_Int_Tables_number 15
loop_
_symmetry_equiv_pos_as_xyz
'x,y,z'
'-x,-y,-z'
'-x,y,-z+1/2'
'x,-y,z+1/2'
'x+1/2,y+1/2,z'
'-x+1/2,-y+1/2,-z'
'-x+1/2,y+1/2,-z+1/2'
'x+1/2,-y+1/2,z+1/2'
loop_
_atom_site_label
_atom_site_type_symbol
_atom_site_fract_x
_atom_site_fract_y
_atom_site_fract_z
Tb1 Tb 0.064 0.186 0.444
Tb2 Tb 0.104 0.395 0.621
Tb3 Tb 0.201 0.226 0.817
Nd1 Nd 0.000 0.407 0.250
Dy1 Dy 0.246 0.053 0.043
Y1 Y 0.000 0.023 0.750

=====

No. 12
# Tb5NdDy2Y (PBE-GGA, optimized geometry)
# **Energy of formation**: 15 kJ per mole of atoms
# **Total magnetic moment**: 0.00 μB/atom
data_Tb5NdDy2Y
_chemical_formula_sum 'Tb20 Nd4 Dy8 Y4'
_cell_length_a 5.629
_cell_length_b 19.858
_cell_length_c 10.632
_cell_angle_alpha 90.00
_cell_angle_beta 90.00
_cell_angle_gamma 90.00
_symmetry_space_group_name_H-M 'C m c 21'
_symmetry_Int_Tables_number 36
loop_
_symmetry_equiv_pos_as_xyz
'x,y,z'
'-x,-y,z+1/2'
'-x,y,z'
'x,-y,z+1/2'
'x+1/2,y+1/2,z'
'-x+1/2,-y+1/2,z+1/2'
'-x+1/2,y+1/2,z'
'x+1/2,-y+1/2,z+1/2'
loop_
_atom_site_label
_atom_site_type_symbol
_atom_site_fract_x
_atom_site_fract_y
_atom_site_fract_z
Tb1 Tb 0.000 0.018 0.000
Tb2 Tb 0.000 0.282 0.287
Tb3 Tb 0.000 0.299 0.686
Tb4 Tb 0.000 0.388 0.998
Tb5 Tb 0.000 0.479 0.714
Nd1 Nd 0.000 0.416 0.430
Dy1 Dy 0.000 0.111 0.710
Dy2 Dy 0.000 0.114 0.296
Y1 Y 0.000 0.201 0.988